Record 1
A plane-wave DFT calculation with GGA-PBEsol was carried out for a relaxed Li2Ti3CoP6O24 crystal.

Properties
magnetic moment: 1.020 μB per formula unit
DOS at the Fermi energy: 20.5 states/eV per cell
formation energy (no corrections): -2.347 eV/atom

a b c (Å): 8.4749 8.4749 20.6407
angles (deg): 90.00 90.00 120.00
Space group R3 (No. 146, hexagonal axes)
Inequivalent atoms, fractional coordinates:
1 Li 0.0000 0.0000 0.0000 (multiplicity 3)
2 Li 0.0000 0.0000 0.4944 (multiplicity 3)
3 Ti 0.0000 0.0000 0.3533 (multiplicity 3)
4 Ti 0.0000 0.0000 0.6342 (multiplicity 3)
5 Ti 0.0000 0.0000 0.8549 (multiplicity 3)
6 Co 0.0000 0.0000 0.1329 (multiplicity 3)
7 P 0.0051 0.2868 0.2408 (multiplicity 9)
8 P 0.0074 0.7101 0.7449 (multiplicity 9)
9 O 0.9996 0.8110 0.8050 (multiplicity 9)
10 O 0.0079 0.8140 0.6835 (multiplicity 9)
11 O 0.0086 0.8251 0.4143 (multiplicity 9)
12 O 0.0103 0.1890 0.3026 (multiplicity 9)
13 O 0.0202 0.1970 0.1782 (multiplicity 9)
14 O 0.0339 0.1973 0.9126 (multiplicity 9)
15 O 0.1692 0.4819 0.2384 (multiplicity 9)
16 O 0.1828 0.1478 0.0728 (multiplicity 9)

=====

Record 2
A plane-wave DFT calculation with GGA-PBEsol was carried out for a relaxed Ca2MgB2H16C2O18 crystal.

Properties
uncorrected energy: -506.54 eV/cell
magnetic moment: 0.000 μB per formula unit
DOS at the Fermi energy: 0.0 states/eV per cell

a b c (Å): 10.546 6.619 11.286
angles (deg): 90.00 119.59 90.00
Space group P2_1/c (No. 14)
Inequivalent atoms, fractional coordinates:
1 Ca 0.062 0.008 0.299 (multiplicity 4)
2 Mg 0.500 0.000 0.500 (multiplicity 2)
3 B 0.263 0.192 0.007 (multiplicity 4)
4 H 0.039 0.249 0.553 (multiplicity 4)
5 H 0.115 0.637 0.483 (multiplicity 4)
6 H 0.237 0.074 0.616 (multiplicity 4)
7 H 0.245 0.102 0.827 (multiplicity 4)
8 H 0.292 0.014 0.170 (multiplicity 4)
9 H 0.397 0.685 0.593 (multiplicity 4)
10 H 0.424 0.625 0.183 (multiplicity 4)
11 H 0.491 0.173 0.109 (multiplicity 4)
12 C 0.251 0.736 0.270 (multiplicity 4)
13 O 0.027 0.708 0.409 (multiplicity 4)
14 O 0.112 0.717 0.201 (multiplicity 4)
15 O 0.177 0.152 0.532 (multiplicity 4)
16 O 0.179 0.161 0.857 (multiplicity 4)
17 O 0.269 0.503 0.574 (multiplicity 4)
18 O 0.303 0.591 0.829 (multiplicity 4)
19 O 0.336 0.587 0.279 (multiplicity 4)
20 O 0.409 0.235 0.549 (multiplicity 4)
21 O 0.457 0.688 0.123 (multiplicity 4)

=====

- Number 1 is which compound?
  Li2Ti3CoP6O24